Below is an optimized crystal structure of PrNd2Ga2Cu2, with properties calculated at the PBE level.

DFT formation energy, kJ/mol of formula units: -248
M_tot, μB per formula unit: 0.000

Cell: 4.4711 4.4711 9.8355 Å, 76.86 76.86 60.00°
Fractional coordinates of all 7 atoms:
1 Pr 0.0000 0.0000 0.0000
2 Nd 0.1247 0.1247 0.6259
3 Nd 0.8753 0.8753 0.3741
4 Ga 0.7364 0.7364 0.7909
5 Ga 0.2636 0.2636 0.2091
6 Cu 0.6007 0.6007 0.1978
7 Cu 0.3993 0.3993 0.8022